Entry 1:
Density functional theory data (PBE) for an optimized crystal structure of LaErTh2Sb4.

Cell: 7.7830 4.5047 7.7916 Å, 90.00 109.58 90.00°
Atoms (fractional coordinates):
La1 0.0000 0.0000 0.0000
Er1 0.0000 0.5000 0.5000
Th1 0.5000 0.0000 0.5000
Th2 0.5000 0.5000 0.0000
Sb1 0.2448 0.0000 0.7417
Sb2 0.2499 0.5000 0.2566
Sb3 0.7501 0.5000 0.7434
Sb4 0.7552 0.0000 0.2583

SG	P2/m, No. 10
raw total energy	-6.144	eV per atom
ρ	8.11	Mg/m³

***

Entry 2:
Density functional theory data (PBE) for an optimized crystal structure of BaSr2Cr.

Cell: 4.3038 4.3038 35.6019 Å, 90.00 90.00 120.00°
Atoms (fractional coordinates):
Ba1 0.0000 0.0000 0.0000
Ba2 0.3333 0.6667 0.6667
Ba3 0.6667 0.3333 0.3333
Sr1 0.0000 0.0000 0.2293
Sr2 0.0000 0.0000 0.7707
Sr3 0.3333 0.6667 0.4373
Sr4 0.3333 0.6667 0.8960
Sr5 0.6667 0.3333 0.1040
Sr6 0.6667 0.3333 0.5627
Cr1 0.0000 0.0000 0.5000
Cr2 0.3333 0.6667 0.1667
Cr3 0.6667 0.3333 0.8333

SG	R-3m, No. 166
raw total energy	-3.212	eV per atom
ρ	3.18	Mg/m³
distance to the lowest polymorph of the same formula	0.108	eV/atom

***

Entry 3:
Density functional theory data (PBE) for an optimized crystal structure of CaCeYTm.

Cell: 8.1201 8.1201 8.1201 Å, 90.00 90.00 90.00°
Atoms (fractional coordinates):
Ca1 0.0000 0.0000 0.0000
Ca2 0.0000 0.5000 0.5000
Ca3 0.5000 0.0000 0.5000
Ca4 0.5000 0.5000 0.0000
Ce1 0.2500 0.2500 0.2500
Ce2 0.2500 0.7500 0.7500
Ce3 0.7500 0.2500 0.7500
Ce4 0.7500 0.7500 0.2500
Y1 0.2500 0.2500 0.7500
Y2 0.2500 0.7500 0.2500
Y3 0.7500 0.2500 0.2500
Y4 0.7500 0.7500 0.7500
Tm1 0.0000 0.0000 0.5000
Tm2 0.0000 0.5000 0.0000
Tm3 0.5000 0.0000 0.0000
Tm4 0.5000 0.5000 0.5000

SG	F-43m, No. 216
raw total energy	-4.512	eV per atom
ρ	5.43	Mg/m³

***

Entry 4:
Density functional theory data (PBE) for an optimized crystal structure of Tb2Pm8Dy3.

Cell: 10.9003 10.9003 5.7093 Å, 90.06 90.06 41.45°
Atoms (fractional coordinates):
Tb1 0.2401 0.2401 0.4987
Tb2 0.7599 0.7599 0.5013
Pm1 0.1314 0.1314 0.9994
Pm2 0.1884 0.5997 0.4998
Pm3 0.3279 0.3279 0.9990
Pm4 0.4003 0.8116 0.5002
Pm5 0.5997 0.1884 0.4998
Pm6 0.6721 0.6721 0.0010
Pm7 0.8116 0.4003 0.5002
Pm8 0.8686 0.8686 0.0006
Dy1 0.0000 0.0000 0.5000
Dy2 0.2865 0.7135 0.0000
Dy3 0.7135 0.2865 0.0000

SG	C2/m, No. 12
raw total energy	-4.488	eV per atom
ρ	7.27	Mg/m³
distance to the lowest polymorph of the same formula	0.144	eV/atom

***

Entry 5:
Density functional theory data (PBE) for an optimized crystal structure of SrLi3Hg.

Cell: 6.7100 6.7100 6.7100 Å, 90.00 90.00 90.00°
Atoms (fractional coordinates):
Sr1 0.0000 0.0000 0.0000
Li1 0.0000 0.0000 0.5000
Li2 0.0000 0.5000 0.0000
Li3 0.5000 0.0000 0.0000
Hg1 0.5000 0.5000 0.5000

SG	Pm-3m, No. 221
raw total energy	-0.776	eV per atom
ρ	1.70	Mg/m³
distance to the lowest polymorph of the same formula	0.968	eV/atom

***

Entry 6:
Density functional theory data (PBE) for an optimized crystal structure of SmEuInIr.

Cell: 7.3377 7.3377 7.3377 Å, 90.00 90.00 90.00°
Atoms (fractional coordinates):
Sm1 0.0000 0.0000 0.0000
Sm2 0.0000 0.5000 0.5000
Sm3 0.5000 0.0000 0.5000
Sm4 0.5000 0.5000 0.0000
Eu1 0.0000 0.0000 0.5000
Eu2 0.0000 0.5000 0.0000
Eu3 0.5000 0.0000 0.0000
Eu4 0.5000 0.5000 0.5000
In1 0.2500 0.2500 0.2500
In2 0.2500 0.7500 0.7500
In3 0.7500 0.2500 0.7500
In4 0.7500 0.7500 0.2500
Ir1 0.2500 0.2500 0.7500
Ir2 0.2500 0.7500 0.2500
Ir3 0.7500 0.2500 0.2500
Ir4 0.7500 0.7500 0.7500

SG	F-43m, No. 216
raw total energy	-7.019	eV per atom
ρ	10.24	Mg/m³

***

Result set for D(E_F): 4.54; 12.36; 33.70; 19.46; 4.20; 27.47 states/eV per cell, one per record in the order listed.